10
Lattice="-4.4991 3.7601 1.2712 -4.4255 -3.8470 1.2703 6.2067 0.0596 4.0860" Properties=species:S:1:pos:R:3 comment="Cs2PuVO6, relaxed, DFT PBE+U" e_tot_ev_per_atom=-7.46 mass_density_g_cm3=5.488 pbc="T T T"
Cs -1.2092 1.9209 3.5688
Cs -1.1716 -1.9485 3.5685
Pu -0.0545 -0.0025 0.2110
V -3.7915 -0.0389 1.6461
O -1.0452 -0.0131 6.1273
O -3.6074 -0.0373 3.3411
O -2.1352 -0.0225 0.9020
O 1.6200 1.5075 5.2304
O 0.5925 0.0036 2.0367
O 1.6493 -1.4810 5.2300

12
Lattice="6.0604 0.0000 0.0000 -3.0302 5.2485 0.0000 0.0000 0.0000 8.0599" Properties=species:S:1:pos:R:3 comment="CsPu2VO8, relaxed, DFT PBE+U" e_tot_ev_per_atom=-8.41 mass_density_g_cm3=5.181 pbc="T T T"
Cs 0.0000 0.0000 4.0300
Pu 0.0000 3.4990 6.2690
Pu 3.0302 1.7495 1.7909
V 0.0000 0.0000 0.0000
O 0.0000 1.5536 6.9566
O -1.6847 4.4717 6.9566
O 1.6847 4.4717 6.9566
O 1.3455 0.7768 1.1033
O 3.0302 1.7495 3.6729
O 0.0000 3.4990 4.3870
O 3.0302 3.6948 1.1033
O 4.7149 0.7768 1.1033

18
Lattice="-6.1952 -3.9157 -1.7140 2.3278 -0.4379 -7.4132 4.5673 -2.4721 5.6652" Properties=species:S:1:pos:R:3 comment="CsPuWO6, relaxed, DFT PBE+U" e_tot_ev_per_atom=-8.15 mass_density_g_cm3=6.825 pbc="T T T"
Cs -0.5109 -5.6061 -1.8718
Cs 1.2108 -1.2196 -1.5903
Pu -1.9337 -2.1768 -4.5636
Pu -3.0976 -1.9579 -0.8570
W -0.8139 -3.1939 1.9756
W 2.2837 -1.2361 2.8326
O 2.8360 -4.0883 -0.9105
O -2.1026 -4.6320 1.6559
O -3.8337 -3.9181 -0.3805
O 0.1650 -2.6219 -4.4702
O -1.3361 -2.3395 0.3105
O -2.3325 -4.2005 -5.1612
O -2.1361 -2.7374 -2.5516
O 2.8025 -2.1937 -5.1180
O 4.5336 -2.9076 -3.0816
O 0.5349 -4.2038 1.0081
O 2.0361 -4.4862 -3.7726
O 3.0324 -2.6252 1.6991

12
Lattice="4.7538 -0.1332 -0.0060 -0.0752 4.7660 0.4524 0.0644 0.7245 9.8027" Properties=species:S:1:pos:R:3 comment="CsPu2WO8, relaxed, DFT PBE+U" e_tot_ev_per_atom=-8.68 mass_density_g_cm3=7.026 pbc="T T T"
Cs 0.0322 0.3623 4.9013
Pu 2.0089 2.8061 8.2951
Pu 2.7340 2.5513 1.9540
W 0.0000 0.0000 0.0000
O 0.6477 3.5105 1.7478
O 3.3031 4.0261 9.8828
O 3.7046 0.5275 1.4807
O 4.0953 1.8468 8.5013
O 1.4398 1.3313 0.3663
O 1.0383 4.8299 8.7685
O 2.3507 3.4037 6.5545
O 2.3923 1.9536 3.6946

> Number 3 is which compound?

CsPuWO6